1.
First-principles (PBE) data for crystalline ScMn2Hg at its relaxed geometry, as listed in Alexandria.

The electronic total energy is -5.55 eV/atom. The formation energy comes out at 690 meV per atom.

The space group is I-42d (No. 122) and the conventional cell measures 3.899, 3.899 and 18.594 Å, with angles of 90.00, 90.00 and 90.00 degrees. The inequivalent atoms are Sc at (0.000, 0.000, 0.000), Mn at (0.155, 0.250, 0.125) and Hg at (0.000, 0.000, 0.500).

---

2.
First-principles (PBE) data for crystalline HfPCl2O at its relaxed geometry, as listed in Alexandria.

The electronic total energy is -4.49 eV/atom. The value obtained for the uncorrected formation energy is 0.31 eV per atom. As for the polymorph energy (0 for the lowest one): 438 meV/atom.

The space group is P4/mmm (No. 123) and the conventional cell measures 4.526, 4.526 and 3.994 Å, with angles of 90.00, 90.00 and 90.00 degrees. The inequivalent atoms are Hf at (0.000, 0.000, 0.000), P at (0.500, 0.500, 0.000), Cl at (0.000, 0.500, 0.500) and O at (0.500, 0.500, 0.500).